No. 1
Entry from Alexandria: crystalline CrTeAs2 at its relaxed geometry (GGA-PBE).

Formation energy without anion corrections in eV per atom: 0.45
SG: No. 123

Structure (POSCAR):
```
CrTeAs2
1.0
4.8958 0.0000 0.0000
0.0000 4.8958 0.0000
0.0000 0.0000 3.4193
Cr Te As
1 1 2
direct
0.0000 0.0000 0.0000
0.5000 0.5000 0.0000
0.0000 0.5000 0.5000
0.5000 0.0000 0.5000
```

No. 2
Entry from Alexandria: crystalline Cr2TeAs at its relaxed geometry (GGA-PBE).

Offset from the most stable computed form in kJ per mole of atoms: 34.1
Formation energy without anion corrections in eV per atom: 0.34
SG: No. 119

Structure (POSCAR):
```
Cr2TeAs
1.0
-1.9615 1.9615 4.9995
1.9615 -1.9615 4.9995
1.9615 1.9615 -4.9995
Cr Te As
2 1 1
direct
0.0000 0.0000 0.0000
0.7500 0.2500 0.5000
0.2500 0.7500 0.5000
0.5000 0.5000 0.0000
```

No. 3
Entry from Alexandria: crystalline Cr2TeAs at its relaxed geometry (GGA-PBE).

Offset from the most stable computed form in kJ per mole of atoms: 11.9
Formation energy without anion corrections in eV per atom: 0.11
SG: No. 44

Structure (POSCAR):
```
Cr2TeAs
1.0
-1.6780 1.7804 6.1326
1.6780 -1.7804 6.1326
1.6780 1.7804 -6.1326
Cr Te As
2 1 1
direct
0.0000 0.0000 0.0000
0.7997 0.2997 0.5000
0.1896 0.6896 0.5000
0.4401 0.4401 0.0000
```

No. 4
Entry from Alexandria: crystalline Cr2TeAs at its relaxed geometry (GGA-PBE).

Offset from the most stable computed form in kJ per mole of atoms: 18.8
Formation energy without anion corrections in eV per atom: 0.18
SG: No. 122

Structure (POSCAR):
```
Cr2TeAs
1.0
-2.8606 2.8606 6.3497
2.8606 -2.8606 6.3497
2.8606 2.8606 -6.3497
Cr Te As
4 2 2
direct
0.0854 0.6250 0.9604
0.3750 0.3354 0.4604
0.6646 0.1250 0.0396
0.8750 0.9146 0.5396
0.2500 0.7500 0.5000
0.5000 0.5000 0.0000
0.0000 0.0000 0.0000
0.7500 0.2500 0.5000
```

No. 5
Entry from Alexandria: crystalline CrTeAs2 at its relaxed geometry (GGA-PBE).

Formation energy without anion corrections in eV per atom: 0.11
SG: No. 6

Structure (POSCAR):
```
CrTeAs2
1.0
3.6470 0.0000 0.0000
0.0000 3.6672 0.0000
-1.5484 0.0000 7.1926
Cr Te As
1 1 2
direct
0.0000 0.0000 0.0000
0.5752 0.5000 0.1773
0.3800 0.0000 0.7198
0.8895 0.5000 0.7413
```

No. 6
Entry from Alexandria: crystalline CrTeAs at its relaxed geometry (GGA-PBE).

Formation energy without anion corrections in eV per atom: 0.16
SG: No. 107

Structure (POSCAR):
```
CrTeAs
1.0
-1.5530 1.5530 6.2946
1.5530 -1.5530 6.2946
1.5530 1.5530 -6.2946
Cr Te As
1 1 1
direct
0.0000 0.0000 0.0000
0.6303 0.6303 0.0000
0.3890 0.3890 0.0000
```

No. 7
Entry from Alexandria: crystalline CrTeAs2 at its relaxed geometry (GGA-PBE).

Formation energy without anion corrections in eV per atom: 0.34
SG: No. 122

Structure (POSCAR):
```
CrTeAs2
1.0
-2.9700 2.9700 6.3098
2.9700 -2.9700 6.3098
2.9700 2.9700 -6.3098
Cr Te As
2 2 4
direct
0.0000 0.0000 0.0000
0.7500 0.2500 0.5000
0.2500 0.7500 0.5000
0.5000 0.5000 0.0000
0.0625 0.6250 0.9375
0.3750 0.3125 0.4375
0.6875 0.1250 0.0625
0.8750 0.9375 0.5625
```

No. 8
Entry from Alexandria: crystalline Cr3TeAs at its relaxed geometry (GGA-PBE).

Offset from the most stable computed form in kJ per mole of atoms: 53.7
Formation energy without anion corrections in eV per atom: 1.11
SG: No. 221

Structure (POSCAR):
```
Cr3TeAs
1.0
5.1272 0.0000 0.0000
0.0000 5.1272 0.0000
0.0000 0.0000 5.1272
Cr Te As
3 1 1
direct
0.0000 0.0000 0.5000
0.0000 0.5000 0.0000
0.5000 0.0000 0.0000
0.0000 0.0000 0.0000
0.5000 0.5000 0.5000
```

No. 9
Entry from Alexandria: crystalline Cr2TeAs at its relaxed geometry (GGA-PBE).

Offset from the most stable computed form in kJ per mole of atoms: 72.3
Formation energy without anion corrections in eV per atom: 0.73
SG: No. 216

Structure (POSCAR):
```
Cr2TeAs
1.0
0.0000 3.4008 3.4008
3.4008 0.0000 3.4008
3.4008 3.4008 0.0000
Cr Te As
2 1 1
direct
0.0000 0.0000 0.0000
0.2500 0.2500 0.2500
0.5000 0.5000 0.5000
0.7500 0.7500 0.7500
```

No. 10
Entry from Alexandria: crystalline Cr2TeAs at its relaxed geometry (GGA-PBE).

Offset from the most stable computed form in kJ per mole of atoms: 15.0
Formation energy without anion corrections in eV per atom: 0.14
SG: No. 99

Structure (POSCAR):
```
Cr2TeAs
1.0
3.1191 0.0000 0.0000
0.0000 3.1191 0.0000
0.0000 0.0000 7.6037
Cr Te As
2 1 1
direct
0.0000 0.0000 0.0000
0.5000 0.5000 0.1833
0.0000 0.0000 0.3882
0.5000 0.5000 0.8308
```

No. 11
Entry from Alexandria: crystalline Cr2TeAs at its relaxed geometry (GGA-PBE).

Offset from the most stable computed form in kJ per mole of atoms: 28.9
Formation energy without anion corrections in eV per atom: 0.28
SG: No. 71

Structure (POSCAR):
```
Cr2TeAs
1.0
-2.0884 2.6695 3.4989
2.0884 -2.6695 3.4989
2.0884 2.6695 -3.4989
Cr Te As
2 1 1
direct
0.2199 0.2199 0.0000
0.7801 0.7801 0.0000
0.5000 0.0000 0.5000
0.0000 0.5000 0.5000
```

No. 12
Entry from Alexandria: crystalline CrTeAs at its relaxed geometry (GGA-PBE).

Formation energy without anion corrections in eV per atom: 0.10
SG: No. 216

Structure (POSCAR):
```
CrTeAs
1.0
0.0000 3.1846 3.1846
3.1846 0.0000 3.1846
3.1846 3.1846 0.0000
Cr Te As
1 1 1
direct
0.0000 0.0000 0.0000
0.7500 0.7500 0.7500
0.2500 0.2500 0.2500
```

One value per record, in order, for DFT total energy: -20.26; -25.69; -26.61; -26.33; -21.62; -16.95; -20.70; -31.13; -24.11; -26.49; -25.91; -17.13 eV per formula unit.
One value per record, in order, for D(E_F): 2.42; 2.74; 3.54; 3.32; 1.15; 2.37; 6.67; 3.58; 3.09; 3.08; 1.78; 2.35 states/eV per cell.
One value per record, in order, for V: 20.49; 19.23; 18.32; 25.98; 24.05; 20.24; 27.83; 26.96; 19.67; 18.49; 19.51; 21.53 Å³ per atom.